The following is a PBE calculation of crystalline Sb2TeRuW at its relaxed geometry, from Alexandria via LeMat-Bulk.

Cell lengths 4.959, 4.959, 5.461 Å; angles 90.00, 90.00, 90.00 degrees
Space group P4/mmm (No. 123)
Symmetry-distinct sites (fractional):
Sb 0.000 0.500 0.000 x2
Te 0.000 0.000 0.500 x1
Ru 0.000 0.000 0.000 x1
W 0.500 0.500 0.500 x1

## Properties
ΔE_f (raw): 1.3129 eV/atom
calculated volume: 134 Å³/cell
crystal system: tetragonal
D(E_F): 0.71 states/eV per atom

The following is a PBE calculation of crystalline Sr3Li3In at its relaxed geometry, from Alexandria via LeMat-Bulk.

Cell lengths 5.111, 11.995, 15.162 Å; angles 90.00, 90.00, 90.00 degrees
Space group Cmcm (No. 63)
Symmetry-distinct sites (fractional):
Sr 0.000 0.016 0.250 x4
Sr 0.000 0.278 0.600 x8
Li 0.000 0.313 0.250 x4
Li 0.000 0.443 0.085 x8
In 0.000 0.000 0.000 x4

## Properties
calculated volume: 930 Å³/cell
crystal system: orthorhombic
D(E_F): 0.75 states/eV per atom
formation enthalpy at 0 K: -0.1290 eV per atom

The following is a PBE calculation of crystalline LiYMnSe2 at its relaxed geometry, from Alexandria via LeMat-Bulk.

Cell lengths 5.409, 5.409, 5.638 Å; angles 90.00, 90.00, 90.00 degrees
Space group P4/mmm (No. 123)
Symmetry-distinct sites (fractional):
Li 0.000 0.000 0.000 x1
Y 0.000 0.000 0.500 x1
Mn 0.500 0.500 0.000 x1
Se 0.000 0.500 0.500 x2

## Properties
ΔE_f (raw): 0.1498 eV/atom
calculated volume: 165 Å³/cell
crystal system: tetragonal
D(E_F): 0.48 states/eV per atom

The following is a PBE calculation of crystalline SrCeI6 at its relaxed geometry, from Alexandria via LeMat-Bulk.

Cell lengths 7.881, 14.043, 7.827 Å; angles 90.00, 107.38, 90.00 degrees
Space group C2/m (No. 12)
Symmetry-distinct sites (fractional):
Sr 0.000 0.000 0.000 x2
Ce 0.000 0.500 0.500 x2
I 0.227 0.347 0.737 x8
I 0.245 0.500 0.269 x4

## Properties
ΔE_f (raw): -1.3211 eV/atom
calculated volume: 827 Å³/cell
crystal system: monoclinic